[1]
! Ti2VZn2 (PBE, relaxed); values from VASP
! * density of states at the Fermi level: 10.5 states/eV/cell
! * E above lowest polymorph: 155 meV/atom
! * energy: -54.223 eV for the cell shown
! * space group: No. 127
! * energy of formation from the pure elements: 0.07 eV per atom
&SYSTEM
  ibrav = 0, nat = 10, ntyp = 3
/
ATOMIC_SPECIES
Zn 65.41 Zn.upf
V 50.94 V.upf
Ti 47.87 Ti.upf
CELL_PARAMETERS angstrom
6.9364 0.0000 0.0000
0.0000 6.9364 0.0000
0.0000 0.0000 3.3248
ATOMIC_POSITIONS crystal
Zn 0.3746 0.8746 0.0000
Zn 0.8746 0.6254 0.0000
Zn 0.6254 0.1254 0.0000
Zn 0.1254 0.3746 0.0000
V 0.0000 0.0000 0.0000
V 0.5000 0.5000 0.0000
Ti 0.1770 0.6770 0.5000
Ti 0.6770 0.8230 0.5000
Ti 0.8230 0.3230 0.5000
Ti 0.3230 0.1770 0.5000

[2]
! Rb2SnSb4Au3 (PBE, relaxed); values from VASP
! * E_form (uncorrected): -0.248 eV per atom
! * density of states at the Fermi level: 5.2 states/eV/cell
! * energy: -34.744 eV for the cell shown
! * space group: No. 115
&SYSTEM
  ibrav = 0, nat = 10, ntyp = 4
/
ATOMIC_SPECIES
Rb 85.47 Rb.upf
Sn 118.71 Sn.upf
Sb 121.76 Sb.upf
Au 196.97 Au.upf
CELL_PARAMETERS angstrom
-2.6584 -3.4493 -2.5478
3.9842 -3.0953 0.0333
-3.5997 -4.5271 9.8849
ATOMIC_POSITIONS crystal
Rb 0.5000 0.0000 0.2488
Rb 0.0000 0.5000 0.7512
Sn 0.5000 0.5000 0.5000
Sb 0.5000 0.5000 0.0000
Sb 0.0000 0.0000 0.0000
Sb 0.5000 0.0000 0.6370
Sb 0.0000 0.5000 0.3630
Au 0.0000 0.0000 0.5000
Au 0.5000 0.0000 0.8829
Au 0.0000 0.5000 0.1171

[3]
! LiSm2DyS4 (PBE, relaxed); values from VASP
! * E_form (uncorrected): -1.931 eV per atom
! * density of states at the Fermi level: 2.6 states/eV/cell
! * energy: -47.913 eV for the cell shown
! * space group: No. 10
&SYSTEM
  ibrav = 0, nat = 8, ntyp = 4
/
ATOMIC_SPECIES
Li 6.94 Li.upf
Sm 150.36 Sm.upf
Dy 162.50 Dy.upf
S 32.06 S.upf
CELL_PARAMETERS angstrom
3.9408 0.0000 0.0000
0.0000 6.8047 0.1166
0.0000 -2.3795 6.3949
ATOMIC_POSITIONS crystal
Li 0.5000 0.5000 0.0000
Sm 0.5000 0.0000 0.5000
Sm 0.0000 0.5000 0.5000
Dy 0.0000 0.0000 0.0000
S 0.5000 0.2505 0.2377
S 0.5000 0.7495 0.7623
S 0.0000 0.2560 0.7620
S 0.0000 0.7440 0.2380

[4]
! Tl3SnSb2Au6 (PBE, relaxed); values from VASP
! * E_form (uncorrected): 0.025 eV per atom
! * density of states at the Fermi level: 4.2 states/eV/cell
! * energy: -38.710 eV for the cell shown
! * space group: No. 164
&SYSTEM
  ibrav = 0, nat = 12, ntyp = 4
/
ATOMIC_SPECIES
Tl 204.38 Tl.upf
Sn 118.71 Sn.upf
Sb 121.76 Sb.upf
Au 196.97 Au.upf
CELL_PARAMETERS angstrom
6.5103 0.0000 0.0000
-3.2552 5.6381 0.0000
0.0000 0.0000 8.7007
ATOMIC_POSITIONS crystal
Tl 0.3333 0.6667 0.6142
Tl 0.6667 0.3333 0.3858
Tl 0.0000 0.0000 0.0000
Sn 0.0000 0.0000 0.5000
Sb 0.6667 0.3333 0.9513
Sb 0.3333 0.6667 0.0487
Au 0.6528 0.8264 0.2807
Au 0.1736 0.3472 0.2807
Au 0.1736 0.8264 0.2807
Au 0.8264 0.6528 0.7193
Au 0.3472 0.1736 0.7193
Au 0.8264 0.1736 0.7193

Look up the density of states at the Fermi level of the second one.
5.2 states/eV/cell